# DyAgAs2 | the Alexandria database | GGA-PBE | relaxed
# uncorrected energy: -19.02 eV per cell
# total moment: 0.000 μB per atom
data_DyAgAs2
_chemical_formula_sum 'Dy1 Ag1 As2'
_space_group_name_H-M_alt 'P 1'
_space_group_IT_number 1
_cell_length_a 3.8400
_cell_length_b 4.6216
_cell_length_c 4.6216
_cell_angle_alpha 90.00
_cell_angle_beta 90.00
_cell_angle_gamma 90.00
loop_
_space_group_symop_operation_xyz
'x,y,z'
loop_
_atom_site_label
_atom_site_type_symbol
_atom_site_fract_x
_atom_site_fract_y
_atom_site_fract_z
_atom_site_occupancy
As1 As 0.0000 0.5000 0.0000 1
As2 As 0.0000 0.0000 0.5000 1
Dy1 Dy 0.5000 0.0000 0.0000 1
Ag1 Ag 0.5000 0.5000 0.5000 1


# DyAgAs | the Alexandria database | GGA-PBE | relaxed
# uncorrected energy: -27.55 eV per cell
# total moment: 0.000 μB per atom
data_DyAgAs
_chemical_formula_sum 'Dy2 Ag2 As2'
_space_group_name_H-M_alt 'P 1'
_space_group_IT_number 1
_cell_length_a 4.8395
_cell_length_b 4.8395
_cell_length_c 7.9501
_cell_angle_alpha 72.28
_cell_angle_beta 72.28
_cell_angle_gamma 60.00
loop_
_space_group_symop_operation_xyz
'x,y,z'
loop_
_atom_site_label
_atom_site_type_symbol
_atom_site_fract_x
_atom_site_fract_y
_atom_site_fract_z
_atom_site_occupancy
Ag1 Ag 0.8416 0.8416 0.4752 1
Ag2 Ag 0.1584 0.1584 0.5248 1
As1 As 0.2772 0.2772 0.1685 1
As2 As 0.7228 0.7228 0.8315 1
Dy1 Dy 0.5953 0.5953 0.2141 1
Dy2 Dy 0.4047 0.4047 0.7859 1


# Dy2AgAs | the Alexandria database | GGA-PBE | relaxed
# uncorrected energy: -19.78 eV per cell
# total moment: 0.000 μB per atom
data_Dy2AgAs
_chemical_formula_sum 'Dy2 Ag1 As1'
_space_group_name_H-M_alt 'P 1'
_space_group_IT_number 1
_cell_length_a 4.0938
_cell_length_b 4.0938
_cell_length_c 7.5131
_cell_angle_alpha 74.19
_cell_angle_beta 74.19
_cell_angle_gamma 60.00
loop_
_space_group_symop_operation_xyz
'x,y,z'
loop_
_atom_site_label
_atom_site_type_symbol
_atom_site_fract_x
_atom_site_fract_y
_atom_site_fract_z
_atom_site_occupancy
Ag1 Ag 0.5000 0.5000 0.5000 1
As1 As 0.0000 0.0000 0.0000 1
Dy1 Dy 0.7424 0.7424 0.7728 1
Dy2 Dy 0.2576 0.2576 0.2272 1


# DyAg2AsO4 | the Alexandria database | GGA-PBE | relaxed
# formation energy (no corrections): -117.0 kJ/mol of atoms
# total moment: 0.000 μB per atom
data_DyAg2AsO4
_chemical_formula_sum 'Dy1 Ag2 As1 O4'
_space_group_name_H-M_alt 'P 1'
_space_group_IT_number 1
_cell_length_a 6.0341
_cell_length_b 6.0341
_cell_length_c 6.0341
_cell_angle_alpha 87.32
_cell_angle_beta 121.56
_cell_angle_gamma 121.56
loop_
_space_group_symop_operation_xyz
'x,y,z'
loop_
_atom_site_label
_atom_site_type_symbol
_atom_site_fract_x
_atom_site_fract_y
_atom_site_fract_z
_atom_site_occupancy
O1 O 0.8939 0.4914 0.1733 1
O2 O 0.1061 0.2794 0.5975 1
O3 O 0.6819 0.4025 0.5086 1
O4 O 0.3181 0.8267 0.7206 1
Ag1 Ag 0.0000 0.0000 0.0000 1
Ag2 Ag 0.5000 0.7500 0.2500 1
As1 As 0.0000 0.5000 0.5000 1
Dy1 Dy 0.5000 0.2500 0.7500 1


# DyAg2AsS4 | the Alexandria database | GGA-PBE | relaxed
# formation energy (no corrections): -61.4 kJ/mol of atoms
# total moment: 0.000 μB per atom
data_DyAg2AsS4
_chemical_formula_sum 'Dy2 Ag4 As2 S8'
_space_group_name_H-M_alt 'P 1'
_space_group_IT_number 1
_cell_length_a 7.7644
_cell_length_b 7.7644
_cell_length_c 7.8854
_cell_angle_alpha 120.49
_cell_angle_beta 120.49
_cell_angle_gamma 90.72
loop_
_space_group_symop_operation_xyz
'x,y,z'
loop_
_atom_site_label
_atom_site_type_symbol
_atom_site_fract_x
_atom_site_fract_y
_atom_site_fract_z
_atom_site_occupancy
Dy1 Dy 0.0000 0.5000 0.5000 1
Dy2 Dy 0.0000 0.5000 0.0000 1
S1 S 0.7388 0.2643 0.5017 1
S2 S 0.2477 0.2518 0.4838 1
S3 S 0.2357 0.7612 0.9983 1
S4 S 0.2613 0.7357 0.4983 1
S5 S 0.7643 0.2387 0.0017 1
S6 S 0.7518 0.7477 0.9838 1
S7 S 0.7523 0.7482 0.5163 1
S8 S 0.2482 0.2523 0.0162 1
Ag1 Ag 0.5000 0.5000 0.0000 1
Ag2 Ag 0.0000 0.0000 0.5000 1
Ag3 Ag 0.5000 0.0000 0.5000 1
Ag4 Ag 0.5000 0.0000 0.0000 1
As1 As 0.5000 0.5000 0.5000 1
As2 As 0.0000 0.0000 0.0000 1


# DyAg2AsSe4 | the Alexandria database | GGA-PBE | relaxed
# formation energy (no corrections): -57.7 kJ/mol of atoms
# total moment: 0.000 μB per atom
data_DyAg2AsSe4
_chemical_formula_sum 'Dy2 Ag4 As2 Se8'
_space_group_name_H-M_alt 'P 1'
_space_group_IT_number 1
_cell_length_a 8.0841
_cell_length_b 8.0841
_cell_length_c 8.1971
_cell_angle_alpha 120.45
_cell_angle_beta 120.45
_cell_angle_gamma 90.31
loop_
_space_group_symop_operation_xyz
'x,y,z'
loop_
_atom_site_label
_atom_site_type_symbol
_atom_site_fract_x
_atom_site_fract_y
_atom_site_fract_z
_atom_site_occupancy
Se1 Se 0.7491 0.7506 0.9872 1
Se2 Se 0.2506 0.2491 0.4872 1
Se3 Se 0.7405 0.2582 0.4994 1
Se4 Se 0.2595 0.7418 0.5006 1
Se5 Se 0.7582 0.2405 0.9994 1
Se6 Se 0.2509 0.2494 0.0128 1
Se7 Se 0.7494 0.7509 0.5128 1
Se8 Se 0.2418 0.7595 0.0006 1
Ag1 Ag 0.5000 0.0000 0.5000 1
Ag2 Ag 0.5000 0.5000 0.0000 1
Ag3 Ag 0.0000 0.0000 0.5000 1
Ag4 Ag 0.5000 0.0000 0.0000 1
Dy1 Dy 0.0000 0.5000 0.5000 1
Dy2 Dy 0.0000 0.5000 0.0000 1
As1 As 0.0000 0.0000 0.0000 1
As2 As 0.5000 0.5000 0.5000 1


# Er2AgAs | the Alexandria database | GGA-PBE | relaxed
# uncorrected energy: -19.65 eV per cell
# total moment: 0.000 μB per atom
data_Er2AgAs
_chemical_formula_sum 'Er2 Ag1 As1'
_space_group_name_H-M_alt 'P 1'
_space_group_IT_number 1
_cell_length_a 4.0361
_cell_length_b 4.0361
_cell_length_c 7.5086
_cell_angle_alpha 74.41
_cell_angle_beta 74.41
_cell_angle_gamma 60.00
loop_
_space_group_symop_operation_xyz
'x,y,z'
loop_
_atom_site_label
_atom_site_type_symbol
_atom_site_fract_x
_atom_site_fract_y
_atom_site_fract_z
_atom_site_occupancy
Er1 Er 0.2572 0.2572 0.2285 1
Er2 Er 0.7428 0.7428 0.7715 1
As1 As 0.0000 0.0000 0.0000 1
Ag1 Ag 0.5000 0.5000 0.5000 1


# ErAgAs2 | the Alexandria database | GGA-PBE | relaxed
# uncorrected energy: -18.92 eV per cell
# total moment: 0.000 μB per atom
data_ErAgAs2
_chemical_formula_sum 'Er1 Ag1 As2'
_space_group_name_H-M_alt 'P 1'
_space_group_IT_number 1
_cell_length_a 3.7859
_cell_length_b 4.6212
_cell_length_c 4.6212
_cell_angle_alpha 90.00
_cell_angle_beta 90.00
_cell_angle_gamma 90.00
loop_
_space_group_symop_operation_xyz
'x,y,z'
loop_
_atom_site_label
_atom_site_type_symbol
_atom_site_fract_x
_atom_site_fract_y
_atom_site_fract_z
_atom_site_occupancy
Er1 Er 0.5000 0.0000 0.0000 1
Ag1 Ag 0.5000 0.5000 0.5000 1
As1 As 0.0000 0.5000 0.0000 1
As2 As 0.0000 0.0000 0.5000 1


# ErAgAs2O8 | the Alexandria database | GGA-PBE | relaxed
# formation energy (no corrections): -132.5 kJ/mol of atoms
# total moment: 0.121 μB per atom
data_ErAgAs2O8
_chemical_formula_sum 'Er1 Ag1 As2 O8'
_space_group_name_H-M_alt 'P 1'
_space_group_IT_number 1
_cell_length_a 5.9561
_cell_length_b 5.9561
_cell_length_c 5.9561
_cell_angle_alpha 107.07
_cell_angle_beta 107.07
_cell_angle_gamma 114.39
loop_
_space_group_symop_operation_xyz
'x,y,z'
loop_
_atom_site_label
_atom_site_type_symbol
_atom_site_fract_x
_atom_site_fract_y
_atom_site_fract_z
_atom_site_occupancy
O1 O 0.4825 0.6693 0.8132 1
O2 O 0.3879 0.0655 0.3224 1
O3 O 0.3307 0.5175 0.1868 1
O4 O 0.9345 0.2568 0.3224 1
O5 O 0.7432 0.0655 0.6776 1
O6 O 0.3307 0.1439 0.8132 1
O7 O 0.9345 0.6121 0.6776 1
O8 O 0.8561 0.6693 0.1868 1
As1 As 0.7500 0.2500 0.5000 1
As2 As 0.5000 0.5000 0.0000 1
Er1 Er 0.2500 0.7500 0.5000 1
Ag1 Ag 0.0000 0.0000 0.0000 1


# ErAg2AsO4 | the Alexandria database | GGA-PBE | relaxed
# formation energy (no corrections): -117.7 kJ/mol of atoms
# total moment: 0.000 μB per atom
data_ErAg2AsO4
_chemical_formula_sum 'Er1 Ag2 As1 O4'
_space_group_name_H-M_alt 'P 1'
_space_group_IT_number 1
_cell_length_a 6.0081
_cell_length_b 6.0081
_cell_length_c 6.0081
_cell_angle_alpha 87.61
_cell_angle_beta 121.39
_cell_angle_gamma 121.39
loop_
_space_group_symop_operation_xyz
'x,y,z'
loop_
_atom_site_label
_atom_site_type_symbol
_atom_site_fract_x
_atom_site_fract_y
_atom_site_fract_z
_atom_site_occupancy
Ag1 Ag 0.0000 0.0000 0.0000 1
Ag2 Ag 0.5000 0.7500 0.2500 1
O1 O 0.3167 0.8296 0.7171 1
O2 O 0.1125 0.2829 0.5996 1
O3 O 0.8875 0.4871 0.1704 1
O4 O 0.6833 0.4004 0.5129 1
Er1 Er 0.5000 0.2500 0.7500 1
As1 As 0.0000 0.5000 0.5000 1


# Er3Ag4AsS8 | the Alexandria database | GGA-PBE | relaxed
# formation energy (no corrections): -92.3 kJ/mol of atoms
# total moment: 0.000 μB per atom
data_Er3Ag4AsS8
_chemical_formula_sum 'Er3 Ag4 As1 S8'
_space_group_name_H-M_alt 'P 1'
_space_group_IT_number 1
_cell_length_a 7.8721
_cell_length_b 7.7326
_cell_length_c 7.8669
_cell_angle_alpha 120.96
_cell_angle_beta 120.02
_cell_angle_gamma 90.00
loop_
_space_group_symop_operation_xyz
'x,y,z'
loop_
_atom_site_label
_atom_site_type_symbol
_atom_site_fract_x
_atom_site_fract_y
_atom_site_fract_z
_atom_site_occupancy
S1 S 0.2539 0.2645 0.5079 1
S2 S 0.7461 0.7355 0.4921 1
S3 S 0.2410 0.7350 0.4819 1
S4 S 0.7562 0.7344 0.9966 1
S5 S 0.7596 0.2656 0.0034 1
S6 S 0.2438 0.2656 0.0034 1
S7 S 0.2404 0.7344 0.9966 1
S8 S 0.7590 0.2650 0.5181 1
Er1 Er 0.5000 0.5000 0.0000 1
Er2 Er 0.5000 0.5000 0.5000 1
Er3 Er 0.0000 0.5000 0.5000 1
Ag1 Ag 0.5000 0.0000 0.5000 1
Ag2 Ag 0.0000 0.0000 0.5000 1
Ag3 Ag 0.5000 0.0000 0.0000 1
Ag4 Ag 0.0000 0.0000 0.0000 1
As1 As 0.0000 0.5000 0.0000 1


# ErAg2AsSe4 | the Alexandria database | GGA-PBE | relaxed
# formation energy (no corrections): -57.7 kJ/mol of atoms
# total moment: 0.000 μB per atom
data_ErAg2AsSe4
_chemical_formula_sum 'Er1 Ag2 As1 Se4'
_space_group_name_H-M_alt 'P 1'
_space_group_IT_number 1
_cell_length_a 4.0468
_cell_length_b 6.9199
_cell_length_c 7.0039
_cell_angle_alpha 70.21
_cell_angle_beta 90.00
_cell_angle_gamma 90.00
loop_
_space_group_symop_operation_xyz
'x,y,z'
loop_
_atom_site_label
_atom_site_type_symbol
_atom_site_fract_x
_atom_site_fract_y
_atom_site_fract_z
_atom_site_occupancy
Se1 Se 0.5000 0.7395 0.2441 1
Se2 Se 0.0000 0.2608 0.2375 1
Se3 Se 0.5000 0.2605 0.7559 1
Se4 Se 0.0000 0.7392 0.7624 1
Er1 Er 0.0000 0.5000 0.5000 1
Ag1 Ag 0.5000 0.0000 0.5000 1
Ag2 Ag 0.0000 0.0000 0.0000 1
As1 As 0.5000 0.5000 0.0000 1


Copy entry 12 word for word.
# ErAg2AsSe4 | the Alexandria database | GGA-PBE | relaxed
# formation energy (no corrections): -57.7 kJ/mol of atoms
# total moment: 0.000 μB per atom
data_ErAg2AsSe4
_chemical_formula_sum 'Er1 Ag2 As1 Se4'
_space_group_name_H-M_alt 'P 1'
_space_group_IT_number 1
_cell_length_a 4.0468
_cell_length_b 6.9199
_cell_length_c 7.0039
_cell_angle_alpha 70.21
_cell_angle_beta 90.00
_cell_angle_gamma 90.00
loop_
_space_group_symop_operation_xyz
'x,y,z'
loop_
_atom_site_label
_atom_site_type_symbol
_atom_site_fract_x
_atom_site_fract_y
_atom_site_fract_z
_atom_site_occupancy
Se1 Se 0.5000 0.7395 0.2441 1
Se2 Se 0.0000 0.2608 0.2375 1
Se3 Se 0.5000 0.2605 0.7559 1
Se4 Se 0.0000 0.7392 0.7624 1
Er1 Er 0.0000 0.5000 0.5000 1
Ag1 Ag 0.5000 0.0000 0.5000 1
Ag2 Ag 0.0000 0.0000 0.0000 1
As1 As 0.5000 0.5000 0.0000 1